Run w
Compound: GdTmLu
Source: Alexandria via LeMat-Bulk
Functional: PBE
Structure: optimized geometry

Calculated volume (Å³/atom): 30.59
Size of the total moment (μB/cell): 14.6

a b c (Å): 3.5121 3.5121 14.8796
angles (deg): 90.00 90.00 90.00
Closest atoms and distances in Å follow each position.
Space group I4mm (No. 107)
Asymmetric unit:
Gd: 0.0000 0.0000 0.0000  4 Gd 3.51, 4 Lu 3.53, 4 Tm 3.53
Tm: 0.0000 0.0000 0.6691  4 Lu 3.46, 4 Tm 3.51, 4 Gd 3.53
Lu: 0.0000 0.0000 0.3313  4 Tm 3.46, 4 Lu 3.51, 4 Gd 3.53



Run x
Compound: GdTmLu
Source: Alexandria via LeMat-Bulk
Functional: PBE
Structure: optimized geometry

Calculated volume (Å³/atom): 30.54
Size of the total moment (μB/cell): 8.1

a b c (Å): 5.5540 5.5540 3.4294
angles (deg): 90.00 90.00 120.00
Closest atoms and distances in Å follow each position.
Space group P3m1 (No. 156)
Asymmetric unit:
Gd: 0.0000 0.0000 0.0000  3 Lu 3.21, 2 Gd 3.43
Tm: 0.3333 0.6667 0.4990  2 Tm 3.43, 6 Gd 3.63-3.64, 6 Lu 3.63-3.64
Lu: 0.6667 0.3333 0.9980  3 Gd 3.21, 2 Lu 3.43



Which of them is the most stable? Correct choice: run w.